Density functional theory data (PBE) for MgPO2 after structural relaxation.

Summary:
- SG: R-3m
- Total DFT energy (no corrections): -5.924 eV/atom
- Distance to the lowest polymorph of the same formula: 0.00 eV per formula unit
- Energy relative to the elements, uncorrected: -1.69 eV per atom
- Size of the total moment: 0.00 Bohr magnetons per cell

Cell: 5.893 5.893 5.893 Å, 28.89 28.89 28.89°
Fractional positions:
O  0.100  0.100  0.100
O  0.900  0.900  0.900
Mg  0.500  0.500  0.500
P  0.000  0.000  0.000